Here is InRe2Ru after structural relaxation from the Alexandria database. Energies are from PBE.

As for the formation energy: 0.412 eV per atom. For the density of states at the Fermi level, the calculation gives 1.06 states/eV per atom.

The space group is Pmmm (No. 47) and the conventional cell measures 2.848, 4.140 and 5.449 Å, with angles of 90.00, 90.00 and 90.00 degrees. The asymmetric unit holds In at (0.000, 0.000, 0.000), Re at (0.500, 0.500, 0.275) and Ru at (0.000, 0.000, 0.500).

Here is InRe2Ru after structural relaxation from the Alexandria database. Energies are from PBE.

As for the formation energy: 0.534 eV per atom. For the density of states at the Fermi level, the calculation gives 1.13 states/eV per atom.

The space group is P4/mmm (No. 123) and the conventional cell measures 3.777, 3.777 and 4.493 Å, with angles of 90.00, 90.00 and 90.00 degrees. The asymmetric unit holds In at (0.000, 0.000, 0.000), Re at (0.000, 0.500, 0.500) and Ru at (0.500, 0.500, 0.000).

Here is TaInRe2Ru after structural relaxation from the Alexandria database. Energies are from PBE.

As for the formation energy: 2.945 eV per atom. For the density of states at the Fermi level, the calculation gives 1.47 states/eV per atom.

The space group is P4/mmm (No. 123) and the conventional cell measures 4.726, 4.726 and 4.858 Å, with angles of 90.00, 90.00 and 90.00 degrees. The asymmetric unit holds Ta at (0.000, 0.000, 0.000), In at (0.000, 0.000, 0.500), Re at (0.000, 0.500, 0.500) and Ru at (0.500, 0.500, 0.000).

Here is InReS3 after structural relaxation from the Alexandria database. Energies are from PBE.

The distance to the lowest polymorph of the same formula comes out at 1336 meV/atom. The value obtained for the formation energy from raw total energies is 7.03 eV per formula unit. For the density of states at the Fermi level, the calculation gives 0.84 states/eV per atom.

The space group is Pm-3m (No. 221) and the conventional cell measures 4.948, 4.948 and 4.948 Å, with angles of 90.00, 90.00 and 90.00 degrees. The asymmetric unit holds In at (0.000, 0.000, 0.000), Re at (0.500, 0.500, 0.500) and S at (0.000, 0.000, 0.500).

Here is InRe2S2 after structural relaxation from the Alexandria database. Energies are from PBE.

The distance to the lowest polymorph of the same formula comes out at 0 meV/atom. The value obtained for the formation energy from raw total energies is 0.74 eV per formula unit. For the density of states at the Fermi level, the calculation gives 0.38 states/eV per atom.

The space group is I4/mmm (No. 139) and the conventional cell measures 3.965, 3.965 and 12.859 Å, with angles of 90.00, 90.00 and 90.00 degrees. The asymmetric unit holds In at (0.000, 0.000, 0.000), Re at (0.000, 0.500, 0.250) and S at (0.000, 0.000, 0.351).

Here is In3ReS after structural relaxation from the Alexandria database. Energies are from PBE.

The distance to the lowest polymorph of the same formula comes out at 530 meV/atom. The value obtained for the formation energy from raw total energies is 6.32 eV per formula unit. For the density of states at the Fermi level, the calculation gives 1.08 states/eV per atom.

The space group is Pm-3m (No. 221) and the conventional cell measures 5.109, 5.109 and 5.109 Å, with angles of 90.00, 90.00 and 90.00 degrees. The asymmetric unit holds In at (0.000, 0.000, 0.500), Re at (0.500, 0.500, 0.500) and S at (0.000, 0.000, 0.000).

Here is InRe2S after structural relaxation from the Alexandria database. Energies are from PBE.

The distance to the lowest polymorph of the same formula comes out at 0 meV/atom. The value obtained for the formation energy from raw total energies is 2.71 eV per formula unit. For the density of states at the Fermi level, the calculation gives 1.22 states/eV per atom.

The space group is I-42d (No. 122) and the conventional cell measures 7.155, 7.155 and 5.381 Å, with angles of 90.00, 90.00 and 90.00 degrees. The asymmetric unit holds In at (0.000, 0.000, 0.000), Re at (0.166, 0.750, 0.625) and S at (0.000, 0.000, 0.500).

Here is InRe3S after structural relaxation from the Alexandria database. Energies are from PBE.

The distance to the lowest polymorph of the same formula comes out at 0 meV/atom. The value obtained for the formation energy from raw total energies is 4.71 eV per formula unit. For the density of states at the Fermi level, the calculation gives 1.16 states/eV per atom.

The space group is Pm-3m (No. 221) and the conventional cell measures 4.404, 4.404 and 4.404 Å, with angles of 90.00, 90.00 and 90.00 degrees. The asymmetric unit holds In at (0.000, 0.000, 0.000), Re at (0.000, 0.500, 0.500) and S at (0.500, 0.500, 0.500).

Here is In2Re2S after structural relaxation from the Alexandria database. Energies are from PBE.

The distance to the lowest polymorph of the same formula comes out at 0 meV/atom. The value obtained for the formation energy from raw total energies is 2.59 eV per formula unit. For the density of states at the Fermi level, the calculation gives 1.02 states/eV per atom.

The space group is P4/mbm (No. 127) and the conventional cell measures 6.169, 6.169 and 4.830 Å, with angles of 90.00, 90.00 and 90.00 degrees. The asymmetric unit holds In at (0.175, 0.325, 0.000), Re at (0.145, 0.645, 0.500) and S at (0.000, 0.000, 0.500).

Here is InRe2S2 after structural relaxation from the Alexandria database. Energies are from PBE.

The distance to the lowest polymorph of the same formula comes out at 494 meV/atom. The value obtained for the formation energy from raw total energies is 3.21 eV per formula unit. For the density of states at the Fermi level, the calculation gives 0.88 states/eV per atom.

The space group is P4/mbm (No. 127) and the conventional cell measures 7.788, 7.788 and 2.867 Å, with angles of 90.00, 90.00 and 90.00 degrees. The asymmetric unit holds In at (0.000, 0.000, 0.000), Re at (0.124, 0.376, 0.500) and S at (0.130, 0.630, 0.000).

Here is InRe2S after structural relaxation from the Alexandria database. Energies are from PBE.

The distance to the lowest polymorph of the same formula comes out at 292 meV/atom. The value obtained for the formation energy from raw total energies is 3.88 eV per formula unit. For the density of states at the Fermi level, the calculation gives 1.17 states/eV per atom.

The space group is Fm-3m (No. 225) and the conventional cell measures 6.310, 6.310 and 6.310 Å, with angles of 90.00, 90.00 and 90.00 degrees. The asymmetric unit holds In at (0.000, 0.000, 0.000), Re at (0.250, 0.250, 0.250) and S at (0.000, 0.000, 0.500).

Here is InReS3 after structural relaxation from the Alexandria database. Energies are from PBE.

The distance to the lowest polymorph of the same formula comes out at 0 meV/atom. The value obtained for the formation energy from raw total energies is 0.35 eV per formula unit. For the density of states at the Fermi level, the calculation gives 0.53 states/eV per atom.

The space group is Pm-3m (No. 221) and the conventional cell measures 4.702, 4.702 and 4.702 Å, with angles of 90.00, 90.00 and 90.00 degrees. The asymmetric unit holds In at (0.000, 0.000, 0.000), Re at (0.500, 0.500, 0.500) and S at (0.000, 0.500, 0.500).

Here is In2ReS after structural relaxation from the Alexandria database. Energies are from PBE.

The value obtained for the formation energy from raw total energies is 3.18 eV per formula unit. For the density of states at the Fermi level, the calculation gives 0.77 states/eV per atom.

The space group is I-42d (No. 122) and the conventional cell measures 7.527, 7.527 and 5.858 Å, with angles of 90.00, 90.00 and 90.00 degrees. The asymmetric unit holds In at (0.242, 0.250, 0.125), Re at (0.000, 0.000, 0.500) and S at (0.000, 0.000, 0.000).

Here is In2Re2S after structural relaxation from the Alexandria database. Energies are from PBE.

The distance to the lowest polymorph of the same formula comes out at 712 meV/atom. The value obtained for the formation energy from raw total energies is 6.15 eV per formula unit. For the density of states at the Fermi level, the calculation gives 1.14 states/eV per atom.

The space group is I4/mmm (No. 139) and the conventional cell measures 3.865, 3.865 and 13.286 Å, with angles of 90.00, 90.00 and 90.00 degrees. The asymmetric unit holds In at (0.000, 0.500, 0.250), Re at (0.000, 0.000, 0.090) and S at (0.000, 0.000, 0.500).

Here is InRe3S after structural relaxation from the Alexandria database. Energies are from PBE.

The distance to the lowest polymorph of the same formula comes out at 2470 meV/atom. The value obtained for the formation energy from raw total energies is 17.06 eV per formula unit. For the density of states at the Fermi level, the calculation gives 1.65 states/eV per atom.

The space group is Pm-3m (No. 221) and the conventional cell measures 4.880, 4.880 and 4.880 Å, with angles of 90.00, 90.00 and 90.00 degrees. The asymmetric unit holds In at (0.000, 0.000, 0.000), Re at (0.000, 0.000, 0.500) and S at (0.500, 0.500, 0.500).

Here is In3ReS after structural relaxation from the Alexandria database. Energies are from PBE.

The distance to the lowest polymorph of the same formula comes out at 0 meV/atom. The value obtained for the formation energy from raw total energies is 3.67 eV per formula unit. For the density of states at the Fermi level, the calculation gives 1.57 states/eV per atom.

The space group is Pm-3m (No. 221) and the conventional cell measures 5.254, 5.254 and 5.254 Å, with angles of 90.00, 90.00 and 90.00 degrees. The asymmetric unit holds In at (0.000, 0.000, 0.500), Re at (0.000, 0.000, 0.000) and S at (0.500, 0.500, 0.500).

Here is InRe2SbS after structural relaxation from the Alexandria database. Energies are from PBE.

The value obtained for the formation energy from raw total energies is 5.60 eV per formula unit. For the density of states at the Fermi level, the calculation gives 1.10 states/eV per atom.

The space group is P4/mmm (No. 123) and the conventional cell measures 4.411, 4.411 and 5.417 Å, with angles of 90.00, 90.00 and 90.00 degrees. The asymmetric unit holds In at (0.000, 0.000, 0.000), Re at (0.000, 0.500, 0.500), Sb at (0.500, 0.500, 0.000) and S at (0.000, 0.000, 0.500).

Here is ScInReS2 after structural relaxation from the Alexandria database. Energies are from PBE.

The value obtained for the formation energy from raw total energies is 0.35 eV per formula unit. For the density of states at the Fermi level, the calculation gives 0.82 states/eV per atom.

The space group is P4/mmm (No. 123) and the conventional cell measures 4.554, 4.554 and 5.467 Å, with angles of 90.00, 90.00 and 90.00 degrees. The asymmetric unit holds Sc at (0.000, 0.000, 0.000), In at (0.500, 0.500, 0.000), Re at (0.000, 0.000, 0.500) and S at (0.000, 0.500, 0.500).

Here is InReSiS2 after structural relaxation from the Alexandria database. Energies are from PBE.

The value obtained for the formation energy from raw total energies is 8.65 eV per formula unit. For the density of states at the Fermi level, the calculation gives 0.55 states/eV per atom.

The space group is P4/mmm (No. 123) and the conventional cell measures 4.900, 4.900 and 5.476 Å, with angles of 90.00, 90.00 and 90.00 degrees. The asymmetric unit holds In at (0.000, 0.000, 0.000), Re at (0.000, 0.000, 0.500), Si at (0.500, 0.500, 0.500) and S at (0.000, 0.500, 0.000).

Here is InRe2SnS after structural relaxation from the Alexandria database. Energies are from PBE.

The value obtained for the formation energy from raw total energies is 11.87 eV per formula unit. For the density of states at the Fermi level, the calculation gives 1.30 states/eV per atom.

The space group is P4/mmm (No. 123) and the conventional cell measures 5.076, 5.076 and 5.629 Å, with angles of 90.00, 90.00 and 90.00 degrees. The asymmetric unit holds In at (0.000, 0.000, 0.000), Re at (0.000, 0.500, 0.500), Sn at (0.000, 0.000, 0.500) and S at (0.500, 0.500, 0.000).